Record 1
Computed, not measured: crystalline Mg6AgSn3 at its relaxed geometry at the PBE-GGA level of DFT.

Unit cell a=8.3393 b=6.1472 c=12.5068 alpha=90.00 beta=131.40 gamma=90.00
Closest atoms and distances in Å follow each position.
Atoms (fractional coordinates):
Mg1 0.1029 0.2186 0.2410  1 Ag 2.86, 3 Sn 3.01-3.12
Mg2 0.1029 0.2814 0.7410  1 Ag 2.86, 3 Sn 3.01-3.12
Mg3 0.2297 0.1279 0.5560  1 Ag 2.76, 2 Sn 2.88-2.96
Mg4 0.2297 0.3721 0.0560  1 Ag 2.76, 2 Sn 2.88-2.96
Mg5 0.3840 0.6122 0.5727  1 Ag 2.78, 2 Sn 2.93-3.03
Mg6 0.3840 0.8878 0.0727  1 Ag 2.78, 2 Sn 2.93-3.03
Mg7 0.6160 0.1122 0.9273  1 Ag 2.78, 2 Sn 2.93-3.03
Mg8 0.6160 0.3878 0.4273  1 Ag 2.78, 2 Sn 2.93-3.03
Mg9 0.7703 0.6279 0.9440  1 Ag 2.76, 2 Sn 2.88-2.96
Mg10 0.7703 0.8721 0.4440  1 Ag 2.76, 2 Sn 2.88-2.96
Mg11 0.8971 0.7186 0.2590  1 Ag 2.86, 3 Sn 3.01-3.12
Mg12 0.8971 0.7814 0.7590  1 Ag 2.86, 3 Sn 3.01-3.12
Ag1 0.0000 0.0000 0.0000  6 Mg 2.76-2.86, 2 Sn 2.93
Ag2 0.0000 0.5000 0.5000  6 Mg 2.76-2.86, 2 Sn 2.93
Sn1 0.2361 0.6904 0.2368  1 Ag 2.93, 6 Mg 2.96-3.25, 1 Sn 3.12
Sn2 0.2361 0.8096 0.7368  1 Ag 2.93, 6 Mg 2.96-3.25, 1 Sn 3.12
Sn3 0.5000 0.0000 0.5000  6 Mg 2.88-3.01, 2 Sn 3.12
Sn4 0.5000 0.5000 0.0000  6 Mg 2.88-3.01, 2 Sn 3.12
Sn5 0.7639 0.1904 0.2632  1 Ag 2.93, 6 Mg 2.96-3.25, 1 Sn 3.12
Sn6 0.7639 0.3096 0.7632  1 Ag 2.93, 6 Mg 2.96-3.25, 1 Sn 3.12

Properties
symmetry = P2_1/c
DFT formation energy = -0.094 eV per atom
magnetic moment = 0.00 μB per formula unit
density of states at the Fermi level = 0.349 states/eV/atom
VASP energy = -50.74 eV per cell

---

Record 2
Computed, not measured: crystalline Tb6Si2Te3Pb at its relaxed geometry at the PBE-GGA level of DFT.

Unit cell a=9.7108 b=9.7108 c=8.7616 alpha=103.57 beta=103.57 gamma=25.46
Closest atoms and distances in Å follow each position.
Atoms (fractional coordinates):
Tb1 0.0104 0.0104 0.2542  1 Si 2.90, 2 Pb 3.06, 3 Te 3.08-3.20
Tb2 0.3254 0.3254 0.4333  3 Si 2.90-2.92, 3 Te 3.21-3.22
Tb3 0.3316 0.3316 0.8903  2 Si 2.92, 3 Te 3.10-3.22, 1 Pb 3.10
Tb4 0.6684 0.6684 0.1097  2 Si 2.92, 3 Te 3.10-3.22, 1 Pb 3.10
Tb5 0.6746 0.6746 0.5667  3 Si 2.90-2.92, 3 Te 3.21-3.22
Tb6 0.9896 0.9896 0.7458  1 Si 2.90, 2 Pb 3.06, 3 Te 3.08-3.20
Si1 0.1681 0.1681 0.3363  6 Tb 2.90-2.92
Si2 0.8319 0.8319 0.6637  6 Tb 2.90-2.92
Te1 0.1637 0.1637 0.8326  6 Tb 3.10-3.22
Te2 0.5000 0.5000 0.5000  6 Tb 3.08-3.22
Te3 0.8363 0.8363 0.1674  6 Tb 3.10-3.22
Pb1 0.5000 0.5000 0.0000  6 Tb 3.06-3.10

Properties
symmetry = C2/m
magnetic moment = 0.00 μB per formula unit
formation energy (no corrections) = -1049 meV per atom
density of states at the Fermi level = 0.202 states/eV/atom
VASP energy = -64.35 eV per cell

---

Record 3
Computed, not measured: crystalline KYMnSe3 at its relaxed geometry at the PBE-GGA level of DFT.

Unit cell a=9.0668 b=4.2207 c=9.8737 alpha=90.00 beta=107.29 gamma=90.00
Closest atoms and distances in Å follow each position.
Atoms (fractional coordinates):
K1 0.2051 0.2500 0.2309  7 Se 3.36-3.68
K2 0.7949 0.7500 0.7691  7 Se 3.36-3.68
Y1 0.3331 0.7500 0.8598  6 Se 2.84-3.05
Y2 0.6669 0.2500 0.1402  6 Se 2.84-3.05
Mn1 0.0864 0.2500 0.6084  4 Se 2.46-2.62
Mn2 0.9136 0.7500 0.3916  4 Se 2.46-2.62
Se1 0.1121 0.2500 0.8633  1 Mn 2.46
Se2 0.2076 0.7500 0.5367  3 Mn 2.57-2.62
Se3 0.4598 0.7500 0.1593  3 Y 2.84-2.87
Se4 0.5402 0.2500 0.8407  3 Y 2.84-2.87
Se5 0.7924 0.2500 0.4633  3 Mn 2.57-2.62
Se6 0.8879 0.7500 0.1367  1 Mn 2.46

Properties
symmetry = P2_1/m
magnetic moment = 5.00 μB per formula unit
formation energy (no corrections) = -1301 meV per atom
density of states at the Fermi level = 0.006 states/eV/atom
VASP energy = -69.98 eV per cell

---

Record 4
Computed, not measured: crystalline Li4InAg2 at its relaxed geometry at the PBE-GGA level of DFT.

Unit cell a=9.6584 b=9.6584 c=9.6584 alpha=162.89 beta=152.96 gamma=32.17
Closest atoms and distances in Å follow each position.
Atoms (fractional coordinates):
Li1 0.0727 0.0727 0.0000  5 Li 2.67-2.87, 2 Ag 2.88
Li2 0.3509 0.8509 0.5000  5 Ag 2.66-2.89, 4 Li 2.67-2.87
Li3 0.6491 0.1491 0.5000  5 Ag 2.66-2.89, 4 Li 2.67-2.87
Li4 0.9273 0.9273 0.0000  5 Li 2.67-2.87, 2 Ag 2.88
In1 0.5000 0.5000 0.0000  2 In 2.87, 12 Li 3.00-3.12
Ag1 0.2073 0.7073 0.5000  7 Li 2.66-2.89, 2 Ag 2.87
Ag2 0.7927 0.2927 0.5000  7 Li 2.66-2.89, 2 Ag 2.87

Properties
symmetry = Immm
DFT formation energy = -0.207 eV per atom
magnetic moment = 0.00 μB per formula unit
density of states at the Fermi level = 0.330 states/eV/atom
E above lowest polymorph = 0.00 eV/f.u.
VASP energy = -17.54 eV per cell

---

Number 1 is which compound?
Mg6AgSn3

---

Which value of VASP energy does entry 3 give?
-69.98 eV per cell